[1]
Computed, not measured: a relaxed structure of BaTcSe2Br at the PBE level of DFT.

a b c (Å): 4.980 4.980 5.377
angles (deg): 90.00 90.00 90.00
Fractional coordinates of all 5 atoms:
Ba  0.000  0.000  0.000
Tc  0.500  0.500  0.500
Se  0.000  0.500  0.500
Se  0.500  0.000  0.500
Br  0.500  0.500  0.000

## Properties
D(E_F): 0.789 states/eV per atom
Polymorph energy (0 for the lowest one): 0 meV per atom
Space-group type: P4/mmm, No. 123



[2]
Computed, not measured: a relaxed structure of Ba4Te2SeBr at the PBE level of DFT.

a b c (Å): 8.367 4.877 8.450
angles (deg): 90.00 109.54 90.00
Fractional coordinates of all 8 atoms:
Ba  0.241  0.000  0.238
Ba  0.248  0.500  0.759
Ba  0.752  0.500  0.241
Ba  0.759  0.000  0.762
Te  0.500  0.000  0.000
Te  0.500  0.500  0.500
Se  0.000  0.500  0.000
Br  0.000  0.000  0.500

## Properties
D(E_F): 0.393 states/eV per atom
Space-group type: P2/m, No. 10



[3]
Computed, not measured: a relaxed structure of BaTeSeBr2 at the PBE level of DFT.

a b c (Å): 5.766 5.766 5.581
angles (deg): 90.00 90.00 90.00
Fractional coordinates of all 5 atoms:
Ba  0.000  0.000  0.000
Te  0.500  0.500  0.500
Se  0.500  0.500  0.000
Br  0.000  0.500  0.500
Br  0.500  0.000  0.500

## Properties
D(E_F): 0.490 states/eV per atom
Polymorph energy (0 for the lowest one): 0 meV per atom
Space-group type: P4/mmm, No. 123



[4]
Computed, not measured: a relaxed structure of BaTeSeBr2 at the PBE level of DFT.

a b c (Å): 6.207 6.207 6.624
angles (deg): 90.00 90.00 90.00
Fractional coordinates of all 5 atoms:
Ba  0.000  0.000  0.000
Te  0.500  0.500  0.500
Se  0.000  0.000  0.500
Br  0.000  0.500  0.000
Br  0.500  0.000  0.000

## Properties
D(E_F): 1.495 states/eV per atom
Polymorph energy (0 for the lowest one): 457 meV per atom
Space-group type: P4/mmm, No. 123



[5]
Computed, not measured: a relaxed structure of BaTeSeBr2 at the PBE level of DFT.

a b c (Å): 5.241 5.241 6.896
angles (deg): 90.00 90.00 90.00
Fractional coordinates of all 5 atoms:
Ba  0.000  0.000  0.000
Te  0.500  0.500  0.000
Se  0.000  0.000  0.500
Br  0.000  0.500  0.500
Br  0.500  0.000  0.500

## Properties
D(E_F): 0.359 states/eV per atom
Polymorph energy (0 for the lowest one): 177 meV per atom
Space-group type: P4/mmm, No. 123



[6]
Computed, not measured: a relaxed structure of Ba6Te3SeBr2 at the PBE level of DFT.

a b c (Å): 8.469 8.469 8.336
angles (deg): 99.74 99.74 119.92
Fractional coordinates of all 12 atoms:
Ba  0.082  0.403  0.746
Ba  0.238  0.238  0.251
Ba  0.403  0.082  0.746
Ba  0.597  0.918  0.254
Ba  0.762  0.762  0.749
Ba  0.918  0.597  0.254
Te  0.171  0.829  0.000
Te  0.500  0.500  0.000
Te  0.829  0.171  0.000
Se  0.000  0.000  0.500
Br  0.334  0.666  0.500
Br  0.666  0.334  0.500

## Properties
D(E_F): 0.285 states/eV per atom
Space-group type: C2/m, No. 12



[7]
Computed, not measured: a relaxed structure of Ba6Te2SeBr3 at the PBE level of DFT.

a b c (Å): 8.414 8.414 8.260
angles (deg): 99.77 99.77 119.88
Fractional coordinates of all 12 atoms:
Ba  0.080  0.400  0.740
Ba  0.239  0.239  0.257
Ba  0.400  0.080  0.740
Ba  0.600  0.920  0.260
Ba  0.761  0.761  0.743
Ba  0.920  0.600  0.260
Te  0.334  0.666  0.500
Te  0.666  0.334  0.500
Se  0.000  0.000  0.500
Br  0.173  0.827  0.000
Br  0.500  0.500  0.000
Br  0.827  0.173  0.000

## Properties
D(E_F): 0.502 states/eV per atom
Space-group type: C2/m, No. 12



[8]
Computed, not measured: a relaxed structure of BaTiSe2Br at the PBE level of DFT.

a b c (Å): 5.977 5.977 5.967
angles (deg): 90.00 90.00 90.00
Fractional coordinates of all 5 atoms:
Ba  0.000  0.000  0.000
Ti  0.500  0.500  0.500
Se  0.000  0.500  0.000
Se  0.500  0.000  0.000
Br  0.000  0.000  0.500

## Properties
D(E_F): 1.522 states/eV per atom
Polymorph energy (0 for the lowest one): 1693 meV per atom
Space-group type: P4/mmm, No. 123



[9]
Computed, not measured: a relaxed structure of BaTiSe2Br at the PBE level of DFT.

a b c (Å): 5.102 5.102 5.264
angles (deg): 90.00 90.00 90.00
Fractional coordinates of all 5 atoms:
Ba  0.000  0.000  0.000
Ti  0.500  0.500  0.500
Se  0.000  0.500  0.500
Se  0.500  0.000  0.500
Br  0.500  0.500  0.000

## Properties
D(E_F): 0.428 states/eV per atom
Polymorph energy (0 for the lowest one): 0 meV per atom
Space-group type: P4/mmm, No. 123



[10]
Computed, not measured: a relaxed structure of BaTiSeBr2 at the PBE level of DFT.

a b c (Å): 6.056 6.056 6.306
angles (deg): 90.00 90.00 90.00
Fractional coordinates of all 5 atoms:
Ba  0.000  0.000  0.000
Ti  0.500  0.500  0.500
Se  0.000  0.000  0.500
Br  0.000  0.500  0.000
Br  0.500  0.000  0.000

## Properties
D(E_F): 1.653 states/eV per atom
Polymorph energy (0 for the lowest one): 1117 meV per atom
Space-group type: P4/mmm, No. 123



[11]
Computed, not measured: a relaxed structure of BaTiSeBr2 at the PBE level of DFT.

a b c (Å): 5.295 5.295 5.169
angles (deg): 90.00 90.00 90.00
Fractional coordinates of all 5 atoms:
Ba  0.000  0.000  0.000
Ti  0.500  0.500  0.500
Se  0.500  0.500  0.000
Br  0.000  0.500  0.500
Br  0.500  0.000  0.500

## Properties
D(E_F): 0.486 states/eV per atom
Polymorph energy (0 for the lowest one): 0 meV per atom
Space-group type: P4/mmm, No. 123



[12]
Computed, not measured: a relaxed structure of BaTlSeBr at the PBE level of DFT.

a b c (Å): 5.651 5.651 5.651
angles (deg): 60.00 60.00 60.00
Fractional coordinates of all 4 atoms:
Ba  0.000  0.000  0.000
Tl  0.500  0.500  0.500
Se  0.250  0.250  0.250
Br  0.750  0.750  0.750

## Properties
D(E_F): 0.000 states/eV per atom
Polymorph energy (0 for the lowest one): 71 meV per atom
Space-group type: F-43m, No. 216



[13]
Computed, not measured: a relaxed structure of BaTlSe2Br at the PBE level of DFT.

a b c (Å): 6.272 6.272 6.274
angles (deg): 90.00 90.00 90.00
Fractional coordinates of all 5 atoms:
Ba  0.000  0.000  0.000
Tl  0.500  0.500  0.500
Se  0.000  0.500  0.000
Se  0.500  0.000  0.000
Br  0.000  0.000  0.500

## Properties
D(E_F): 1.630 states/eV per atom
Polymorph energy (0 for the lowest one): 346 meV per atom
Space-group type: P4/mmm, No. 123



[14]
Computed, not measured: a relaxed structure of BaTlSe2Br at the PBE level of DFT.

a b c (Å): 5.431 5.431 5.783
angles (deg): 90.00 90.00 90.00
Fractional coordinates of all 5 atoms:
Ba  0.000  0.000  0.000
Tl  0.500  0.500  0.500
Se  0.000  0.500  0.500
Se  0.500  0.000  0.500
Br  0.500  0.500  0.000

## Properties
D(E_F): 0.296 states/eV per atom
Polymorph energy (0 for the lowest one): 0 meV per atom
Space-group type: P4/mmm, No. 123



[15]
Computed, not measured: a relaxed structure of BaTlSe2Br at the PBE level of DFT.

a b c (Å): 5.275 5.275 7.153
angles (deg): 90.00 90.00 90.00
Fractional coordinates of all 5 atoms:
Ba  0.000  0.000  0.000
Tl  0.000  0.000  0.500
Se  0.000  0.500  0.500
Se  0.500  0.000  0.500
Br  0.500  0.500  0.000

## Properties
D(E_F): 0.361 states/eV per atom
Polymorph energy (0 for the lowest one): 364 meV per atom
Space-group type: P4/mmm, No. 123



[16]
Computed, not measured: a relaxed structure of BaTlSeBr at the PBE level of DFT.

a b c (Å): 16.827 16.827 16.827
angles (deg): 16.20 16.20 16.20
Fractional coordinates of all 8 atoms:
Ba  0.099  0.099  0.099
Ba  0.901  0.901  0.901
Tl  0.304  0.304  0.304
Tl  0.696  0.696  0.696
Se  0.395  0.395  0.395
Se  0.605  0.605  0.605
Br  0.200  0.200  0.200
Br  0.800  0.800  0.800

## Properties
D(E_F): 0.000 states/eV per atom
Polymorph energy (0 for the lowest one): 0 meV per atom
Space-group type: R-3m, No. 166



[17]
Computed, not measured: a relaxed structure of Ba2TlSe2Br2 at the PBE level of DFT.

a b c (Å): 9.363 9.363 9.363
angles (deg): 145.32 145.32 49.86
Fractional coordinates of all 7 atoms:
Ba  0.120  0.120  0.000
Ba  0.880  0.880  0.000
Tl  0.500  0.500  0.000
Se  0.000  0.500  0.500
Se  0.500  0.000  0.500
Br  0.308  0.308  0.000
Br  0.692  0.692  0.000

## Properties
D(E_F): 0.337 states/eV per atom
Space-group type: I4/mmm, No. 139



[18]
Computed, not measured: a relaxed structure of BaWSeBr2 at the PBE level of DFT.

a b c (Å): 5.370 5.370 4.886
angles (deg): 90.00 90.00 90.00
Fractional coordinates of all 5 atoms:
Ba  0.000  0.000  0.000
W  0.500  0.500  0.500
Se  0.500  0.500  0.000
Br  0.000  0.500  0.500
Br  0.500  0.000  0.500

## Properties
D(E_F): 0.628 states/eV per atom
Polymorph energy (0 for the lowest one): 0 meV per atom
Space-group type: P4/mmm, No. 123



[19]
Computed, not measured: a relaxed structure of BaWSeBr2 at the PBE level of DFT.

a b c (Å): 6.103 6.103 6.505
angles (deg): 90.00 90.00 90.00
Fractional coordinates of all 5 atoms:
Ba  0.000  0.000  0.000
W  0.500  0.500  0.500
Se  0.000  0.000  0.500
Br  0.000  0.500  0.000
Br  0.500  0.000  0.000

## Properties
D(E_F): 2.164 states/eV per atom
Polymorph energy (0 for the lowest one): 1154 meV per atom
Space-group type: P4/mmm, No. 123



[20]
Computed, not measured: a relaxed structure of BaYSe2Br at the PBE level of DFT.

a b c (Å): 5.543 5.543 5.476
angles (deg): 90.00 90.00 90.00
Fractional coordinates of all 5 atoms:
Ba  0.000  0.000  0.000
Y  0.500  0.500  0.500
Se  0.000  0.500  0.500
Se  0.500  0.000  0.500
Br  0.500  0.500  0.000

## Properties
Polymorph energy (0 for the lowest one): 0 meV per atom
Space-group type: P4/mmm, No. 123



[21]
Computed, not measured: a relaxed structure of BaYSe2Br at the PBE level of DFT.

a b c (Å): 6.006 6.006 5.772
angles (deg): 90.00 90.00 90.00
Fractional coordinates of all 5 atoms:
Ba  0.000  0.000  0.000
Y  0.500  0.500  0.500
Se  0.000  0.500  0.000
Se  0.500  0.000  0.000
Br  0.000  0.000  0.500

## Properties
D(E_F): 0.774 states/eV per atom
Polymorph energy (0 for the lowest one): 1341 meV per atom
Space-group type: P4/mmm, No. 123



[22]
Computed, not measured: a relaxed structure of BaZnSeBr2 at the PBE level of DFT.

a b c (Å): 6.287 6.287 6.777
angles (deg): 90.00 90.00 90.00
Fractional coordinates of all 5 atoms:
Ba  0.000  0.000  0.000
Zn  0.500  0.500  0.500
Se  0.000  0.000  0.500
Br  0.000  0.500  0.000
Br  0.500  0.000  0.000

## Properties
D(E_F): 1.225 states/eV per atom
Polymorph energy (0 for the lowest one): 713 meV per atom
Space-group type: P4/mmm, No. 123



[23]
Computed, not measured: a relaxed structure of BaZnSeBr2 at the PBE level of DFT.

a b c (Å): 5.291 5.291 5.124
angles (deg): 90.00 90.00 90.00
Fractional coordinates of all 5 atoms:
Ba  0.000  0.000  0.000
Zn  0.500  0.500  0.500
Se  0.500  0.500  0.000
Br  0.000  0.500  0.500
Br  0.500  0.000  0.500

## Properties
D(E_F): 0.122 states/eV per atom
Polymorph energy (0 for the lowest one): 0 meV per atom
Space-group type: P4/mmm, No. 123



[24]
Computed, not measured: a relaxed structure of BaZrSe2Br at the PBE level of DFT.

a b c (Å): 5.957 5.957 5.874
angles (deg): 90.00 90.00 90.00
Fractional coordinates of all 5 atoms:
Ba  0.000  0.000  0.000
Zr  0.500  0.500  0.500
Se  0.000  0.500  0.000
Se  0.500  0.000  0.000
Br  0.000  0.000  0.500

## Properties
D(E_F): 1.070 states/eV per atom
Polymorph energy (0 for the lowest one): 1661 meV per atom
Space-group type: P4/mmm, No. 123



[25]
Computed, not measured: a relaxed structure of BaZrSeBr2 at the PBE level of DFT.

a b c (Å): 5.362 5.362 5.337
angles (deg): 90.00 90.00 90.00
Fractional coordinates of all 5 atoms:
Ba  0.000  0.000  0.000
Zr  0.500  0.500  0.500
Se  0.500  0.500  0.000
Br  0.000  0.500  0.500
Br  0.500  0.000  0.500

## Properties
D(E_F): 0.433 states/eV per atom
Polymorph energy (0 for the lowest one): 0 meV per atom
Space-group type: P4/mmm, No. 123



[26]
Computed, not measured: a relaxed structure of BaZrSeBr2 at the PBE level of DFT.

a b c (Å): 5.972 5.972 6.278
angles (deg): 90.00 90.00 90.00
Fractional coordinates of all 5 atoms:
Ba  0.000  0.000  0.000
Zr  0.500  0.500  0.500
Se  0.000  0.000  0.500
Br  0.000  0.500  0.000
Br  0.500  0.000  0.000

## Properties
D(E_F): 2.337 states/eV per atom
Polymorph energy (0 for the lowest one): 1151 meV per atom
Space-group type: P4/mmm, No. 123



[27]
Computed, not measured: a relaxed structure of BaZrSe2Br at the PBE level of DFT.

a b c (Å): 5.318 5.318 5.309
angles (deg): 90.00 90.00 90.00
Fractional coordinates of all 5 atoms:
Ba  0.000  0.000  0.000
Zr  0.500  0.500  0.500
Se  0.000  0.500  0.500
Se  0.500  0.000  0.500
Br  0.500  0.500  0.000

## Properties
D(E_F): 0.464 states/eV per atom
Polymorph energy (0 for the lowest one): 0 meV per atom
Space-group type: P4/mmm, No. 123



Formation energy (no corrections) values (in meV per atom) by entry order: -758, -1817, -816, -359, -639, -1784, -1742, 259, -1434, -250, -1367, -1374, -525, -871, -506, -1445, -1486, -490, 665, -1804, -463, -541, -1254, 173, -1294, -144, -1488.